A plane-wave DFT calculation with PBE was carried out for a relaxed structure of Al2SbW.

Calculated values
**SG**: No. 99
**DFT total energy**: -5.896 eV/atom
**Energy relative to the elements, uncorrected**: 94.2 kJ/mol of formula units

Cell lengths 3.5208, 3.5208, 5.6903 Å; angles 90.00, 90.00, 90.00 degrees
With the nearest neighbours (Å) after each atom.
Fractional positions:
W 0.5000 0.5000 0.7688  5 Al 2.65-2.80, 4 Sb 2.91
Al 0.5000 0.5000 0.2348  1 W 2.65, 4 Al 2.84, 4 Sb 2.92
Al 0.0000 0.0000 0.9929  2 Sb 2.78-2.91, 4 W 2.80, 4 Al 2.84
Sb 0.0000 0.0000 0.5035  6 Al 2.78-2.92, 4 W 2.91


A plane-wave DFT calculation with PBE was carried out for a relaxed structure of Al2SbW.

Calculated values
**SG**: No. 12
**DFT total energy**: -5.671 eV/atom
**Energy relative to the elements, uncorrected**: 181.2 kJ/mol of formula units

Cell lengths 5.6297, 5.6297, 3.2028 Å; angles 72.55, 72.55, 117.86 degrees
With the nearest neighbours (Å) after each atom.
Fractional positions:
W 0.0000 0.5000 0.5000  4 Al 2.79, 4 Sb 2.81-2.91
Al 0.5000 0.5000 0.0000  2 Sb 2.79, 2 W 2.79, 4 Al 2.81-2.91
Al 0.0000 0.0000 0.0000  2 W 2.79, 2 Sb 2.79, 4 Al 2.81-2.91
Sb 0.5000 0.0000 0.5000  4 Al 2.79, 4 W 2.81-2.91


A plane-wave DFT calculation with PBE was carried out for a relaxed structure of Al2SbW.

Calculated values
**SG**: No. 47
**DFT total energy**: -5.681 eV/atom
**Energy relative to the elements, uncorrected**: 177.4 kJ/mol of formula units

Cell lengths 3.5452, 4.5085, 4.4103 Å; angles 90.00, 90.00, 90.00 degrees
With the nearest neighbours (Å) after each atom.
Fractional positions:
Al 0.0000 0.0000 0.0000  4 Sb 2.83, 4 Al 2.87, 4 W 3.15
Al 0.5000 0.5000 0.0000  4 W 2.83, 4 Al 2.87, 4 Sb 3.15
Sb 0.5000 0.0000 0.5000  8 Al 2.83-3.15, 4 W 2.87
W 0.0000 0.5000 0.5000  8 Al 2.83-3.15, 4 Sb 2.87


A plane-wave DFT calculation with PBE was carried out for a relaxed structure of Al2SbW.

Calculated values
**SG**: No. 12
**DFT total energy**: -5.768 eV/atom
**Energy relative to the elements, uncorrected**: 143.7 kJ/mol of formula units

Cell lengths 5.1128, 5.1128, 4.7887 Å; angles 83.26, 83.26, 34.94 degrees
With the nearest neighbours (Å) after each atom.
Fractional positions:
Sb 0.2500 0.2500 0.2500  6 Al 2.80-3.11, 4 W 2.84, 2 Sb 3.07
Al 0.4893 0.4893 0.5198  4 Al 2.72-2.99, 1 Sb 2.80, 3 W 2.89-2.90
Al 0.0107 0.0107 0.9802  4 Al 2.72-2.99, 1 Sb 2.80, 3 W 2.89-2.90
W 0.7500 0.7500 0.7500  4 Sb 2.84, 6 Al 2.89-2.90, 2 W 3.07


A plane-wave DFT calculation with PBE was carried out for a relaxed structure of Al2SbW.

Calculated values
**SG**: No. 99
**DFT total energy**: -5.777 eV/atom
**Energy relative to the elements, uncorrected**: 140.2 kJ/mol of formula units

Cell lengths 3.0710, 3.0710, 8.1177 Å; angles 90.00, 90.00, 90.00 degrees
With the nearest neighbours (Å) after each atom.
Fractional positions:
Sb 0.0000 0.0000 0.5374  4 W 2.90, 4 Sb 3.07
Al 0.5000 0.5000 0.2111  8 Al 2.88-3.07
Al 0.0000 0.0000 0.9779  4 W 2.73, 4 Al 2.88
W 0.5000 0.5000 0.7737  4 Al 2.73, 4 Sb 2.90


A plane-wave DFT calculation with PBE was carried out for a relaxed structure of AlSbW2.

Calculated values
**SG**: No. 10
**DFT total energy**: -8.029 eV/atom
**Energy relative to the elements, uncorrected**: 159.6 kJ/mol of formula units
**Offset from the most stable computed form**: 0.2617 eV per atom

Cell lengths 3.1951, 4.7225, 5.4803 Å; angles 57.37, 90.00, 90.00 degrees
With the nearest neighbours (Å) after each atom.
Fractional positions:
W 0.0000 0.0000 0.0000  2 Sb 2.74, 4 W 2.85, 4 Al 2.94
W 0.5000 0.5000 0.0000  2 Al 2.74, 4 W 2.85, 4 Sb 2.94
Al 0.5000 0.5000 0.5000  6 W 2.74-2.94, 4 Sb 2.85
Sb 0.0000 0.0000 0.5000  6 W 2.74-2.94, 4 Al 2.85


A plane-wave DFT calculation with PBE was carried out for a relaxed structure of Al2SbW.

Calculated values
**SG**: No. 6
**DFT total energy**: -5.853 eV/atom
**Energy relative to the elements, uncorrected**: 111.0 kJ/mol of formula units

Cell lengths 4.6327, 2.8881, 5.8105 Å; angles 75.65, 90.00, 90.00 degrees
With the nearest neighbours (Å) after each atom.
Fractional positions:
Al 0.5000 0.9486 0.2266  2 W 2.68, 2 Sb 2.77, 4 Al 2.79-2.89
Al 0.0000 0.0867 0.9505  4 Al 2.79-2.89, 4 W 2.82, 3 Sb 2.93-3.07
Sb 0.0000 0.8158 0.4966  5 Al 2.77-3.07, 2 Sb 2.89, 2 W 2.97
W 0.5000 0.6488 0.8263  6 Al 2.68-2.82, 2 W 2.89, 2 Sb 2.97


A plane-wave DFT calculation with PBE was carried out for a relaxed structure of AlSbW3.

Calculated values
**SG**: No. 221
**DFT total energy**: -7.538 eV/atom
**Energy relative to the elements, uncorrected**: 871.5 kJ/mol of formula units
**Offset from the most stable computed form**: 0.0000 eV per atom

Cell lengths 4.5960, 4.5960, 4.5960 Å; angles 90.00, 90.00, 90.00 degrees
With the nearest neighbours (Å) after each atom.
Fractional positions:
W 0.0000 0.5000 0.0000  2 Al 2.30
W 0.0000 0.0000 0.5000  2 Al 2.30
W 0.5000 0.0000 0.0000  2 Al 2.30
Al 0.0000 0.0000 0.0000  6 W 2.30
Sb 0.5000 0.5000 0.5000  12 W 3.25


A plane-wave DFT calculation with PBE was carried out for a relaxed structure of Al2SbW.

Calculated values
**SG**: No. 119
**DFT total energy**: -5.716 eV/atom
**Energy relative to the elements, uncorrected**: 163.7 kJ/mol of formula units

Cell lengths 5.0796, 5.0796, 5.0796 Å; angles 132.19, 132.19, 69.93 degrees
With the nearest neighbours (Å) after each atom.
Fractional positions:
Sb 0.5000 0.5000 0.0000  8 Al 2.91-2.93, 4 W 2.93
Al 0.2500 0.7500 0.5000  4 W 2.91, 4 Sb 2.93, 4 Al 2.93
Al 0.0000 0.0000 0.0000  4 Sb 2.91, 4 Al 2.93, 4 W 2.93
W 0.7500 0.2500 0.5000  8 Al 2.91-2.93, 4 Sb 2.93


A plane-wave DFT calculation with PBE was carried out for a relaxed structure of Al2SbW.

Calculated values
**SG**: No. 139
**DFT total energy**: -5.721 eV/atom
**Energy relative to the elements, uncorrected**: 161.7 kJ/mol of formula units

Cell lengths 5.1808, 5.1808, 5.1808 Å; angles 134.37, 134.37, 66.51 degrees
With the nearest neighbours (Å) after each atom.
Fractional positions:
W 0.7500 0.2500 0.5000  4 Sb 2.84, 8 Al 2.95
Sb 0.2500 0.7500 0.5000  4 W 2.84, 8 Al 2.95
Al 0.5000 0.5000 0.0000  4 Al 2.84, 4 Sb 2.95, 4 W 2.95
Al 0.0000 0.0000 0.0000  4 Al 2.84, 4 W 2.95, 4 Sb 2.95


A plane-wave DFT calculation with PBE was carried out for a relaxed structure of AlSbW2.

Calculated values
**SG**: No. 65
**DFT total energy**: -7.882 eV/atom
**Energy relative to the elements, uncorrected**: 216.6 kJ/mol of formula units
**Offset from the most stable computed form**: 0.4093 eV per atom

Cell lengths 4.4680, 4.4680, 3.4594 Å; angles 90.00, 90.00, 98.80 degrees
With the nearest neighbours (Å) after each atom.
Fractional positions:
Al 0.5000 0.0000 0.5000  8 W 2.83, 2 Sb 2.91
Sb 0.0000 0.5000 0.5000  8 W 2.83, 2 Al 2.91
W 0.5000 0.5000 0.0000  4 Al 2.83, 4 Sb 2.83, 2 W 2.91
W 0.0000 0.0000 0.0000  4 Sb 2.83, 4 Al 2.83, 2 W 2.91


A plane-wave DFT calculation with PBE was carried out for a relaxed structure of Al2SbW.

Calculated values
**SG**: No. 123
**DFT total energy**: -5.878 eV/atom
**Energy relative to the elements, uncorrected**: 101.4 kJ/mol of formula units

Cell lengths 2.9563, 2.9563, 8.5601 Å; angles 90.00, 90.00, 90.00 degrees
With the nearest neighbours (Å) after each atom.
Fractional positions:
Al 0.0000 0.0000 0.9595  4 W 2.75, 4 Al 2.96
Al 0.0000 0.0000 0.5405  4 W 2.75, 4 Al 2.96
Sb 0.5000 0.5000 0.2500  4 Sb 2.96, 8 Al 3.25
W 0.5000 0.5000 0.7500  8 Al 2.75, 4 W 2.96


A plane-wave DFT calculation with PBE was carried out for a relaxed structure of AlSbW2.

Calculated values
**SG**: No. 216
**DFT total energy**: -7.934 eV/atom
**Energy relative to the elements, uncorrected**: 196.5 kJ/mol of formula units
**Offset from the most stable computed form**: 0.3571 eV per atom

Cell lengths 4.6276, 4.6276, 4.6276 Å; angles 60.00, 60.00, 60.00 degrees
With the nearest neighbours (Å) after each atom.
Fractional positions:
W 0.2500 0.2500 0.2500  4 Al 2.83, 4 W 2.83
W 0.0000 0.0000 0.0000  4 W 2.83, 4 Sb 2.83
Sb 0.7500 0.7500 0.7500  4 W 2.83, 4 Al 2.83
Al 0.5000 0.5000 0.5000  4 Sb 2.83, 4 W 2.83


A plane-wave DFT calculation with PBE was carried out for a relaxed structure of Al2SbW.

Calculated values
**SG**: No. 166
**DFT total energy**: -5.846 eV/atom
**Energy relative to the elements, uncorrected**: 113.5 kJ/mol of formula units

Cell lengths 9.2853, 9.2853, 9.2853 Å; angles 18.97, 18.97, 18.97 degrees
With the nearest neighbours (Å) after each atom.
Fractional positions:
W 0.7500 0.7500 0.7500  6 Al 2.72
Al 0.4925 0.4925 0.4925  3 W 2.72, 3 Sb 3.05
Al 0.0075 0.0075 0.0075  3 W 2.72, 3 Sb 3.05
Sb 0.2500 0.2500 0.2500  6 Al 3.05, 6 Sb 3.06


A plane-wave DFT calculation with PBE was carried out for a relaxed structure of AlSbW2.

Calculated values
**SG**: No. 12
**DFT total energy**: -8.063 eV/atom
**Energy relative to the elements, uncorrected**: 146.8 kJ/mol of formula units
**Offset from the most stable computed form**: 0.2284 eV per atom

Cell lengths 4.8776, 4.8776, 4.7835 Å; angles 83.33, 83.33, 39.23 degrees
With the nearest neighbours (Å) after each atom.
Fractional positions:
W 0.9975 0.9975 0.0376  2 W 2.61, 3 Al 2.65-2.88, 1 Sb 2.80
W 0.5025 0.5025 0.4624  2 W 2.61, 3 Al 2.65-2.88, 1 Sb 2.80
Sb 0.7500 0.7500 0.7500  6 W 2.80-3.03, 4 Al 2.90
Al 0.2500 0.2500 0.2500  6 W 2.65-2.88, 4 Sb 2.90


A plane-wave DFT calculation with PBE was carried out for a relaxed structure of AlSbW2.

Calculated values
**SG**: No. 10
**DFT total energy**: -7.920 eV/atom
**Energy relative to the elements, uncorrected**: 201.7 kJ/mol of formula units
**Offset from the most stable computed form**: 0.3706 eV per atom

Cell lengths 4.4553, 2.8781, 5.6120 Å; angles 84.69, 90.00, 90.00 degrees
With the nearest neighbours (Å) after each atom.
Fractional positions:
W 0.0000 0.5749 0.4665  1 W 2.54, 2 Al 2.74, 2 Sb 2.81
W 0.0000 0.9251 0.0335  1 W 2.54, 2 Al 2.74, 2 Sb 2.81
Al 0.5000 0.2500 0.2500  4 W 2.74, 2 Al 2.88, 2 Sb 3.03
Sb 0.5000 0.7500 0.7500  4 W 2.81, 2 Sb 2.88, 2 Al 3.03


A plane-wave DFT calculation with PBE was carried out for a relaxed structure of Al2SbW.

Calculated values
**SG**: No. 122
**DFT total energy**: -5.424 eV/atom
**Energy relative to the elements, uncorrected**: 276.5 kJ/mol of formula units

Cell lengths 7.6837, 7.6837, 6.0775 Å; angles 50.79, 50.79, 90.00 degrees
With the nearest neighbours (Å) after each atom.
Fractional positions:
Al 0.3750 0.3481 0.7500  2 W 2.66, 2 Al 2.75, 2 Sb 2.95
Al 0.0981 0.6250 0.2500  2 W 2.66, 2 Al 2.75, 2 Sb 2.95
Al 0.8750 0.9019 0.7500  2 W 2.66, 2 Al 2.75, 2 Sb 2.95
Al 0.6519 0.1250 0.2500  2 W 2.66, 2 Al 2.75, 2 Sb 2.95
Sb 0.5000 0.5000 0.0000  2 W 2.72, 4 Al 2.95
Sb 0.2500 0.7500 0.5000  2 W 2.72, 4 Al 2.95
W 0.7500 0.2500 0.5000  4 Al 2.66, 2 Sb 2.72
W 0.0000 0.0000 0.0000  4 Al 2.66, 2 Sb 2.72


A plane-wave DFT calculation with PBE was carried out for a relaxed structure of AlSbW3.

Calculated values
**SG**: No. 221
**DFT total energy**: -6.851 eV/atom
**Energy relative to the elements, uncorrected**: 1203.1 kJ/mol of formula units
**Offset from the most stable computed form**: 0.6875 eV per atom

Cell lengths 4.8715, 4.8715, 4.8715 Å; angles 90.00, 90.00, 90.00 degrees
With the nearest neighbours (Å) after each atom.
Fractional positions:
W 0.5000 0.0000 0.0000  2 Sb 2.44
W 0.0000 0.5000 0.0000  2 Sb 2.44
W 0.0000 0.0000 0.5000  2 Sb 2.44
Sb 0.0000 0.0000 0.0000  6 W 2.44
Al 0.5000 0.5000 0.5000  12 W 3.44


A plane-wave DFT calculation with PBE was carried out for a relaxed structure of AlSbW2.

Calculated values
**SG**: No. 160
**DFT total energy**: -8.130 eV/atom
**Energy relative to the elements, uncorrected**: 120.6 kJ/mol of formula units
**Offset from the most stable computed form**: 0.1606 eV per atom

Cell lengths 8.9026, 8.9026, 8.9026 Å; angles 20.21, 20.21, 20.21 degrees
With the nearest neighbours (Å) after each atom.
Fractional positions:
Sb 0.7455 0.7455 0.7455  3 W 2.87, 3 Al 3.09, 6 Sb 3.12
Al 0.5082 0.5082 0.5082  3 W 2.72
W 0.9937 0.9937 0.9937  3 W 2.65, 3 Sb 2.87
W 0.2527 0.2527 0.2527  3 W 2.65, 3 Al 2.72


A plane-wave DFT calculation with PBE was carried out for a relaxed structure of AlSbW2.

Calculated values
**SG**: No. 119
**DFT total energy**: -7.994 eV/atom
**Energy relative to the elements, uncorrected**: 173.3 kJ/mol of formula units
**Offset from the most stable computed form**: 0.2971 eV per atom

Cell lengths 4.9961, 4.9961, 4.9961 Å; angles 131.71, 131.71, 70.69 degrees
With the nearest neighbours (Å) after each atom.
Fractional positions:
W 0.2500 0.7500 0.5000  4 W 2.89, 4 Al 2.89, 4 Sb 2.89
W 0.0000 0.0000 0.0000  4 W 2.89, 4 Sb 2.89, 4 Al 2.89
Sb 0.7500 0.2500 0.5000  8 W 2.89, 4 Al 2.89
Al 0.5000 0.5000 0.0000  8 W 2.89, 4 Sb 2.89